Record 1
This record from Alexandria via LeMat-Bulk describes a geometry-optimized SrLi2InPb2 structure. The functional is PBE-GGA.

Unit cell a=4.8398 b=4.8398 c=7.7592 alpha=90.00 beta=90.00 gamma=120.00
Positions (direct):
1 Sr 0.0000 0.0000 0.0000
2 Li 0.3333 0.6667 0.6368
3 Li 0.6667 0.3333 0.3632
4 In 0.0000 0.0000 0.5000
5 Pb 0.3333 0.6667 0.2537
6 Pb 0.6667 0.3333 0.7463

## Properties
Its crystal system is trigonal. As for the electronic total energy: -17.57 eV for the cell shown. Its space-group type is P-3m1 (164). Its spin magnetization is 0.000 μB per formula unit.

=====

Record 2
This record from Alexandria via LeMat-Bulk describes a geometry-optimized SrLi2InPb structure. The functional is PBE-GGA.

Unit cell a=5.8871 b=6.1126 c=5.8871 alpha=90.00 beta=90.00 gamma=90.00
Positions (direct):
1 Pb 0.0000 0.5000 0.0000
2 Sr 0.0000 0.0000 0.0000
3 Li 0.0000 0.0000 0.5000
4 Li 0.5000 0.0000 0.0000
5 In 0.5000 0.5000 0.5000

## Properties
Its crystal system is tetragonal. As for the electronic total energy: -8.43 eV for the cell shown. Its space-group type is P4/mmm (123). Its spin magnetization is 0.000 μB per formula unit.

=====

Record 3
This record from Alexandria via LeMat-Bulk describes a geometry-optimized SrLiInPb2 structure. The functional is PBE-GGA.

Unit cell a=6.7306 b=6.3084 c=6.8126 alpha=90.00 beta=90.00 gamma=90.00
Positions (direct):
1 Sr 0.2320 0.2500 0.5000
2 Sr 0.7680 0.7500 0.5000
3 Li 0.0000 0.0000 0.0000
4 Li 0.0000 0.5000 0.0000
5 In 0.6491 0.7500 0.0000
6 In 0.3509 0.2500 0.0000
7 Pb 0.7321 0.2500 0.7450
8 Pb 0.7321 0.2500 0.2550
9 Pb 0.2679 0.7500 0.7450
10 Pb 0.2679 0.7500 0.2550

## Properties
Its crystal system is orthorhombic. As for the electronic total energy: -30.57 eV for the cell shown. Its space-group type is Pmma (51). Its spin magnetization is 0.000 μB per formula unit.

=====

Record 4
This record from Alexandria via LeMat-Bulk describes a geometry-optimized SrLi2In2Pb2 structure. The functional is PBE-GGA.

Unit cell a=4.9006 b=4.9006 c=9.5233 alpha=75.09 beta=75.09 gamma=60.00
Positions (direct):
1 Sr 0.0000 0.0000 0.0000
2 Li 0.1465 0.1465 0.5604
3 Li 0.8535 0.8535 0.4396
4 In 0.5537 0.5537 0.3390
5 In 0.4463 0.4463 0.6610
6 Pb 0.7383 0.7383 0.7852
7 Pb 0.2617 0.2617 0.2148

## Properties
Its crystal system is trigonal. As for the electronic total energy: -20.64 eV for the cell shown. Its space-group type is R-3m (166). Its spin magnetization is 0.000 μB per formula unit.

=====

Record 5
This record from Alexandria via LeMat-Bulk describes a geometry-optimized LiTaInPb2 structure. The functional is PBE-GGA.

Unit cell a=5.7406 b=5.3850 c=5.7406 alpha=90.00 beta=90.00 gamma=90.00
Site moments in Bohr magnetons follow the coordinates.
Positions (direct):
1 Pb 0.0000 0.0000 0.5000  -0.04
2 Pb 0.5000 0.0000 0.0000  -0.02
3 In 0.0000 0.0000 0.0000  0.04
4 Li 0.5000 0.5000 0.5000  0.00
5 Ta 0.0000 0.5000 0.0000  1.51

## Properties
Its crystal system is tetragonal. As for the electronic total energy: -17.90 eV for the cell shown. Its space-group type is P4/mmm (123). Its spin magnetization is 2.268 μB per formula unit.

=====

Record 6
This record from Alexandria via LeMat-Bulk describes a geometry-optimized LiInTe4Pb2 structure. The functional is PBE-GGA.

Unit cell a=8.8776 b=8.8776 c=8.9618 alpha=120.31 beta=120.31 gamma=89.08
Positions (direct):
1 Li 0.0000 0.5000 0.0000
2 Li 0.0000 0.5000 0.5000
3 In 0.5000 0.5000 0.5000
4 In 0.0000 0.0000 0.0000
5 Te 0.2249 0.7428 0.9841
6 Te 0.7572 0.2751 0.5159
7 Te 0.2428 0.7249 0.4841
8 Te 0.7751 0.2572 0.0159
9 Te 0.7608 0.7392 0.9878
10 Te 0.7608 0.7392 0.5122
11 Te 0.2392 0.2608 0.4878
12 Te 0.2392 0.2608 0.0122
13 Pb 0.5000 0.0000 0.0000
14 Pb 0.5000 0.0000 0.5000
15 Pb 0.0000 0.0000 0.5000
16 Pb 0.5000 0.5000 0.0000

## Properties
Its crystal system is orthorhombic. As for the electronic total energy: -56.22 eV for the cell shown. Its space-group type is Imma (74). The raw formation energy comes out at -434 meV per atom. Its spin magnetization is 0.000 μB per formula unit.

=====

Record 7
This record from Alexandria via LeMat-Bulk describes a geometry-optimized LiIn2Te4Pb structure. The functional is PBE-GGA.

Unit cell a=7.0020 b=7.0020 c=7.7011 alpha=112.39 beta=112.39 gamma=99.33
Positions (direct):
1 Li 0.5038 0.5038 0.0076
2 In 0.7611 0.2611 0.5221
3 In 0.2611 0.7611 0.5221
4 Te 0.5955 0.5955 0.7218
5 Te 0.3950 0.8396 0.2347
6 Te 0.8396 0.3950 0.2347
7 Te 0.1263 0.1263 0.7218
8 Pb 0.0179 0.0179 0.0359

## Properties
Its crystal system is orthorhombic. As for the electronic total energy: -26.78 eV for the cell shown. Its space-group type is Fmm2 (42). The raw formation energy comes out at -390 meV per atom. Its spin magnetization is 0.001 μB per formula unit.

=====

Record 8
This record from Alexandria via LeMat-Bulk describes a geometry-optimized LiThInPb structure. The functional is PBE-GGA.

Unit cell a=5.3344 b=5.3344 c=5.3344 alpha=60.00 beta=60.00 gamma=60.00
Positions (direct):
1 Pb 0.5000 0.5000 0.5000
2 Li 0.2500 0.2500 0.2500
3 Th 0.7500 0.7500 0.7500
4 In 0.0000 0.0000 0.0000

## Properties
Its crystal system is cubic. As for the electronic total energy: -16.44 eV for the cell shown. Its space-group type is F-43m (216). Its spin magnetization is 0.000 μB per formula unit.

=====

Record 9
This record from Alexandria via LeMat-Bulk describes a geometry-optimized LiThInPb structure. The functional is PBE-GGA.

Unit cell a=4.5739 b=4.7862 c=4.8306 alpha=90.00 beta=90.00 gamma=90.00
Positions (direct):
1 Li 0.0000 0.0000 0.0000
2 Th 0.0000 0.5000 0.5000
3 In 0.5000 0.5000 0.0000
4 Pb 0.5000 0.0000 0.5000

## Properties
Its crystal system is orthorhombic. As for the electronic total energy: -16.86 eV for the cell shown. Its space-group type is Pmmm (47). Its spin magnetization is 0.000 μB per formula unit.

=====

Record 10
This record from Alexandria via LeMat-Bulk describes a geometry-optimized Li5TlIn2Pb2 structure. The functional is PBE-GGA.

Unit cell a=3.6188 b=11.1555 c=11.1555 alpha=90.00 beta=90.00 gamma=90.00
Positions (direct):
1 Li 0.5000 0.2058 0.0088
2 Li 0.5000 0.7942 0.9912
3 Li 0.5000 0.0088 0.7942
4 Li 0.5000 0.7058 0.4912
5 Li 0.5000 0.9912 0.2058
6 Li 0.5000 0.2942 0.5088
7 Li 0.5000 0.5088 0.7058
8 Li 0.5000 0.4912 0.2942
9 Li 0.5000 0.5000 0.0000
10 Li 0.5000 0.0000 0.5000
11 Tl 0.0000 0.0000 0.0000
12 Tl 0.0000 0.5000 0.5000
13 In 0.0000 0.1451 0.6451
14 In 0.0000 0.8549 0.3549
15 In 0.0000 0.6451 0.8549
16 In 0.0000 0.3549 0.1451
17 Pb 0.0000 0.6613 0.1613
18 Pb 0.0000 0.3387 0.8387
19 Pb 0.0000 0.1613 0.3387
20 Pb 0.0000 0.8387 0.6613

## Properties
Its crystal system is tetragonal. As for the electronic total energy: -52.84 eV for the cell shown. Its space-group type is P4/mbm (127). Its spin magnetization is 0.000 μB per formula unit.

=====

Record 11
This record from Alexandria via LeMat-Bulk describes a geometry-optimized Li2Tl2In5Pb2 structure. The functional is PBE-GGA.

Unit cell a=4.3412 b=4.3412 c=16.1175 alpha=97.74 beta=97.74 gamma=90.00
Positions (direct):
1 Li 0.1387 0.1387 0.2775
2 Li 0.8613 0.8613 0.7225
3 Tl 0.2274 0.2274 0.4549
4 Tl 0.7726 0.7726 0.5451
5 In 0.0000 0.0000 0.0000
6 In 0.5750 0.0750 0.1500
7 In 0.9250 0.4250 0.8500
8 In 0.0750 0.5750 0.1500
9 In 0.4250 0.9250 0.8500
10 Pb 0.3377 0.3377 0.6754
11 Pb 0.6623 0.6623 0.3246

## Properties
Its crystal system is tetragonal. As for the electronic total energy: -29.91 eV for the cell shown. Its space-group type is I4/mmm (139). Its spin magnetization is 0.000 μB per formula unit.

=====

Record 12
This record from Alexandria via LeMat-Bulk describes a geometry-optimized Li4TlIn2Pb2 structure. The functional is PBE-GGA.

Unit cell a=6.7493 b=6.7493 c=6.7493 alpha=90.18 beta=119.89 gamma=119.89
Positions (direct):
1 Li 0.0000 0.7183 0.2817
2 Li 0.4366 0.7183 0.7183
3 Li 0.0000 0.2817 0.7183
4 Li 0.5634 0.2817 0.2817
5 Tl 0.0000 0.0000 0.0000
6 In 0.0000 0.7066 0.7066
7 In 0.0000 0.2934 0.2934
8 Pb 0.5000 0.7500 0.2500
9 Pb 0.5000 0.2500 0.7500

## Properties
Its crystal system is tetragonal. As for the electronic total energy: -23.63 eV for the cell shown. Its space-group type is I4/mmm (139). Its spin magnetization is 0.000 μB per formula unit.